(1)
Computed, not measured: a geometry-optimized Ac2GaIrRh structure at the PBE level of DFT.

Cell lengths 4.3844, 4.3844, 13.8370 Å; angles 90.00, 90.00, 90.00 degrees
Fractional positions:
Ac 0.2500 0.2500 0.1036
Ac 0.2500 0.2500 0.6757
Ac 0.7500 0.7500 0.3243
Ac 0.7500 0.7500 0.8964
Ga 0.2500 0.2500 0.4074
Ga 0.7500 0.7500 0.5926
Ir 0.2500 0.2500 0.8823
Ir 0.7500 0.7500 0.1177
Rh 0.2500 0.7500 0.5000
Rh 0.7500 0.2500 0.5000

Values from the calculation:
**VASP energy**: -61.73 eV/cell
**Energy of formation**: -0.68 eV/atom
**Symmetry**: No. 129


(2)
Computed, not measured: a geometry-optimized Zr6PtRh5 structure at the PBE level of DFT.

Cell lengths 8.1394, 8.1394, 4.7020 Å; angles 106.59, 106.59, 47.41 degrees
Fractional positions:
Zr 0.0826 0.5830 0.3327
Zr 0.2504 0.7496 0.0000
Zr 0.4170 0.9174 0.6673
Zr 0.5830 0.0826 0.3327
Zr 0.7496 0.2504 0.0000
Zr 0.9174 0.4170 0.6673
Pt 0.0000 0.0000 0.5000
Rh 0.1740 0.1740 0.1738
Rh 0.3359 0.3359 0.8360
Rh 0.5000 0.5000 0.5000
Rh 0.6641 0.6641 0.1640
Rh 0.8260 0.8260 0.8262

Values from the calculation:
**VASP energy**: -103.47 eV/cell
**Energy of formation**: -0.78 eV/atom
**Symmetry**: No. 12


(3)
Computed, not measured: a geometry-optimized SrPr3Mg4 structure at the PBE level of DFT.

Cell lengths 3.9692, 5.6217, 11.2418 Å; angles 90.00, 90.00, 90.00 degrees
Fractional positions:
Sr 0.0000 0.0000 0.0000
Pr 0.0000 0.0000 0.5000
Pr 0.0000 0.5000 0.2549
Pr 0.0000 0.5000 0.7451
Mg 0.5000 0.0000 0.2596
Mg 0.5000 0.0000 0.7404
Mg 0.5000 0.5000 0.0000
Mg 0.5000 0.5000 0.5000

Values from the calculation:
**VASP energy**: -23.08 eV/cell
**Energy of formation**: -0.08 eV/atom
**Symmetry**: No. 47


(4)
Computed, not measured: a geometry-optimized HfTaP2 structure at the PBE level of DFT.

Cell lengths 3.6450, 3.6450, 17.7547 Å; angles 90.00, 90.00, 120.00 degrees
Fractional positions:
Hf 0.0000 0.0000 0.0000
Hf 0.3333 0.6667 0.6667
Hf 0.6667 0.3333 0.3333
Ta 0.0000 0.0000 0.5000
Ta 0.3333 0.6667 0.1667
Ta 0.6667 0.3333 0.8333
P 0.0000 0.0000 0.2475
P 0.0000 0.0000 0.7525
P 0.3333 0.6667 0.4191
P 0.3333 0.6667 0.9142
P 0.6667 0.3333 0.0858
P 0.6667 0.3333 0.5809

Values from the calculation:
**VASP energy**: -107.84 eV/cell
**Energy of formation**: -0.83 eV/atom
**E above lowest polymorph**: 0.114 eV/atom
**Symmetry**: No. 166